Record 1
VASP calculation (PBE-GGA) on a relaxed structure of CrHgOs2.

Properties
Energy of formation (kJ per mole of atoms): 38.8
Space group: R-3m, No. 166

```
CrHgOs2
1.0
1.386 0.800 9.277
-1.386 0.800 9.277
0.000 -1.600 9.277
Cr Hg Os
1 1 2
Direct
0.000 0.000 0.000
0.500 0.500 0.500
0.262 0.262 0.262
0.738 0.738 0.738
```

=====

Record 2
VASP calculation (PBE-GGA) on a relaxed structure of CrHgOs3.

Properties
Energy relative to the lowest polymorph listed for this composition (eV per atom): 0.000
Energy of formation (kJ per mole of atoms): 166.4
Space group: Pm-3m, No. 221

```
CrHgOs3
1.0
4.484 0.000 0.000
0.000 4.484 0.000
0.000 0.000 4.484
Cr Hg Os
1 1 3
Direct
0.000 0.000 0.000
0.500 0.500 0.500
0.000 0.000 0.500
0.000 0.500 0.000
0.500 0.000 0.000
```

=====

Record 3
VASP calculation (PBE-GGA) on a relaxed structure of CrHgOs2.

Properties
Energy of formation (kJ per mole of atoms): 89.6
Space group: I-42d, No. 122

```
CrHgOs2
1.0
-3.587 3.587 2.610
3.587 -3.587 2.610
3.587 3.587 -2.610
Cr Hg Os
2 2 4
Direct
0.000 0.000 0.000
0.750 0.250 0.500
0.250 0.750 0.500
0.500 0.500 0.000
0.063 0.625 0.938
0.375 0.313 0.438
0.687 0.125 0.062
0.875 0.937 0.562
```

=====

Record 4
VASP calculation (PBE-GGA) on a relaxed structure of CrHg3Os.

Properties
Energy relative to the lowest polymorph listed for this composition (eV per atom): 0.000
Energy of formation (kJ per mole of atoms): 160.8
Space group: Pm-3m, No. 221

```
CrHg3Os
1.0
5.198 0.000 0.000
0.000 5.198 0.000
0.000 0.000 5.198
Cr Hg Os
1 3 1
Direct
0.000 0.000 0.000
0.000 0.500 0.500
0.500 0.000 0.500
0.500 0.500 0.000
0.500 0.500 0.500
```

=====

Record 5
VASP calculation (PBE-GGA) on a relaxed structure of CrHgOs2.

Properties
Energy of formation (kJ per mole of atoms): 71.1
Space group: I4/mmm, No. 139

```
CrHgOs2
1.0
-1.947 1.947 4.050
1.947 -1.947 4.050
1.947 1.947 -4.050
Cr Hg Os
1 1 2
Direct
0.000 0.000 0.000
0.500 0.500 0.000
0.250 0.750 0.500
0.750 0.250 0.500
```

=====

Record 6
VASP calculation (PBE-GGA) on a relaxed structure of CrHgOs2.

Properties
Energy of formation (kJ per mole of atoms): 48.5
Space group: P4/mmm, No. 123

```
CrHgOs2
1.0
2.790 0.000 0.000
0.000 2.790 0.000
0.000 0.000 7.841
Cr Hg Os
1 1 2
Direct
0.000 0.000 0.000
0.000 0.000 0.500
0.500 0.500 0.211
0.500 0.500 0.789
```